# GdSi2Ni2

GdSi2Ni2 after structural relaxation (PBE-GGA, Alexandria via LeMat-Bulk).

## Properties
The symmetry is I4/mmm. As for the formation energy from raw total energies: -0.84 eV per atom.

a b c (Å): 3.9933 3.9933 9.5674
angles (deg): 90.00 90.00 90.00
With the nearest neighbours (Å) after each atom.
Sites, in units of the cell vectors:
Gd  0.0000  0.0000  0.0000  8 Si 3.08, 8 Ni 3.12
Gd  0.5000  0.5000  0.5000  8 Si 3.08, 8 Ni 3.12
Si  0.0000  0.0000  0.3723  4 Ni 2.31, 1 Si 2.44
Si  0.0000  0.0000  0.6277  4 Ni 2.31, 1 Si 2.44
Si  0.5000  0.5000  0.1277  4 Ni 2.31, 1 Si 2.44
Si  0.5000  0.5000  0.8723  4 Ni 2.31, 1 Si 2.44
Ni  0.0000  0.5000  0.2500  4 Si 2.31
Ni  0.0000  0.5000  0.7500  4 Si 2.31
Ni  0.5000  0.0000  0.2500  4 Si 2.31
Ni  0.5000  0.0000  0.7500  4 Si 2.31

***

# Gd3Si2Ni6

Gd3Si2Ni6 after structural relaxation (PBE-GGA, Alexandria via LeMat-Bulk).

## Properties
The symmetry is Im-3m. As for the formation energy from raw total energies: -0.62 eV per atom.

a b c (Å): 7.6385 7.6385 7.6385
angles (deg): 109.47 109.47 109.47
With the nearest neighbours (Å) after each atom.
Sites, in units of the cell vectors:
Gd  0.0000  0.2854  0.2854  8 Ni 2.84-2.94, 4 Si 3.13
Gd  0.0000  0.7146  0.7146  8 Ni 2.84-2.94, 4 Si 3.13
Gd  0.2854  0.0000  0.2854  8 Ni 2.84-2.94, 4 Si 3.13
Gd  0.2854  0.2854  0.0000  8 Ni 2.84-2.94, 4 Si 3.13
Gd  0.7146  0.0000  0.7146  8 Ni 2.84-2.94, 4 Si 3.13
Gd  0.7146  0.7146  0.0000  8 Ni 2.84-2.94, 4 Si 3.13
Si  0.0000  0.0000  0.5000  6 Ni 2.42
Si  0.0000  0.5000  0.0000  6 Ni 2.42
Si  0.5000  0.0000  0.0000  6 Ni 2.42
Si  0.5000  0.5000  0.5000  6 Ni 2.42
Ni  0.0000  0.3306  0.6694  2 Si 2.42, 4 Ni 2.55
Ni  0.0000  0.6694  0.3306  2 Si 2.42, 4 Ni 2.55
Ni  0.3306  0.0000  0.6694  2 Si 2.42, 4 Ni 2.55
Ni  0.3306  0.3306  0.6611  2 Si 2.42, 4 Ni 2.55
Ni  0.3306  0.6611  0.3306  2 Si 2.42, 4 Ni 2.55
Ni  0.3306  0.6694  0.0000  2 Si 2.42, 4 Ni 2.55
Ni  0.3389  0.6694  0.6694  2 Si 2.42, 4 Ni 2.55
Ni  0.6611  0.3306  0.3306  2 Si 2.42, 4 Ni 2.55
Ni  0.6694  0.0000  0.3306  2 Si 2.42, 4 Ni 2.55
Ni  0.6694  0.3306  0.0000  2 Si 2.42, 4 Ni 2.55
Ni  0.6694  0.3389  0.6694  2 Si 2.42, 4 Ni 2.55
Ni  0.6694  0.6694  0.3389  2 Si 2.42, 4 Ni 2.55

***

# GdYSiNi

GdYSiNi after structural relaxation (PBE-GGA, Alexandria via LeMat-Bulk).

## Properties
The symmetry is F-43m. As for the formation energy from raw total energies: -0.47 eV per atom.

a b c (Å): 6.9526 6.9526 6.9526
angles (deg): 90.00 90.00 90.00
With the nearest neighbours (Å) after each atom.
Sites, in units of the cell vectors:
Gd  0.0000  0.0000  0.0000  4 Ni 3.01, 4 Si 3.01
Gd  0.0000  0.5000  0.5000  4 Ni 3.01, 4 Si 3.01
Gd  0.5000  0.0000  0.5000  4 Ni 3.01, 4 Si 3.01
Gd  0.5000  0.5000  0.0000  4 Ni 3.01, 4 Si 3.01
Y  0.0000  0.0000  0.5000  4 Ni 3.01, 4 Si 3.01
Y  0.0000  0.5000  0.0000  4 Ni 3.01, 4 Si 3.01
Y  0.5000  0.0000  0.0000  4 Ni 3.01, 4 Si 3.01
Y  0.5000  0.5000  0.5000  4 Ni 3.01, 4 Si 3.01
Si  0.2500  0.2500  0.7500  4 Gd 3.01, 4 Y 3.01
Si  0.2500  0.7500  0.2500  4 Gd 3.01, 4 Y 3.01
Si  0.7500  0.2500  0.2500  4 Gd 3.01, 4 Y 3.01
Si  0.7500  0.7500  0.7500  4 Gd 3.01, 4 Y 3.01
Ni  0.2500  0.2500  0.2500  4 Gd 3.01, 4 Y 3.01
Ni  0.2500  0.7500  0.7500  4 Gd 3.01, 4 Y 3.01
Ni  0.7500  0.2500  0.7500  4 Gd 3.01, 4 Y 3.01
Ni  0.7500  0.7500  0.2500  4 Gd 3.01, 4 Y 3.01

***

# SmGd2Ni

SmGd2Ni after structural relaxation (PBE-GGA, Alexandria via LeMat-Bulk).

## Properties
The symmetry is R-3m. The calculated formation energy comes out at 0.06 eV/atom.

a b c (Å): 3.6551 3.6551 31.1280
angles (deg): 90.00 90.00 120.00
With the nearest neighbours (Å) after each atom.
Sites, in units of the cell vectors:
Sm  0.0000  0.0000  0.0000  2 Gd 3.49, 6 Sm 3.66
Sm  0.3333  0.6667  0.6667  2 Gd 3.49, 6 Sm 3.66
Sm  0.6667  0.3333  0.3333  2 Gd 3.49, 6 Sm 3.66
Gd  0.0000  0.0000  0.1120  3 Ni 2.71
Gd  0.0000  0.0000  0.8880  3 Ni 2.71
Gd  0.3333  0.6667  0.5547  3 Ni 2.71
Gd  0.3333  0.6667  0.7786  3 Ni 2.71
Gd  0.6667  0.3333  0.2214  3 Ni 2.71
Gd  0.6667  0.3333  0.4453  3 Ni 2.71
Ni  0.0000  0.0000  0.5000  6 Gd 2.71
Ni  0.3333  0.6667  0.1667  6 Gd 2.71
Ni  0.6667  0.3333  0.8333  6 Gd 2.71

***

# Sm3GdNi

Sm3GdNi after structural relaxation (PBE-GGA, Alexandria via LeMat-Bulk).

## Properties
The symmetry is Pm-3m. The calculated formation energy comes out at 0.00 eV/atom.

a b c (Å): 5.4213 5.4213 5.4213
angles (deg): 90.00 90.00 90.00
With the nearest neighbours (Å) after each atom.
Sites, in units of the cell vectors:
Sm  0.0000  0.0000  0.5000  2 Ni 2.71
Sm  0.0000  0.5000  0.0000  2 Ni 2.71
Sm  0.5000  0.0000  0.0000  2 Ni 2.71
Gd  0.5000  0.5000  0.5000  12 Sm 3.83
Ni  0.0000  0.0000  0.0000  6 Sm 2.71

***

# SmGdNi

SmGdNi after structural relaxation (PBE-GGA, Alexandria via LeMat-Bulk).

## Properties
For the energy above the lowest structure with this stoichiometry, the calculation gives 16 kJ/mol of formula units. The symmetry is P3m1. The calculated formation energy comes out at -0.13 eV/atom.

a b c (Å): 3.9303 3.9303 6.3263
angles (deg): 90.00 90.00 120.00
With the nearest neighbours (Å) after each atom.
Sites, in units of the cell vectors:
Sm  0.0000  0.0000  0.0000  3 Ni 2.76
Gd  0.3333  0.6667  0.4883  3 Ni 2.73
Ni  0.6667  0.3333  0.2471  3 Gd 2.73, 3 Sm 2.76

***

Here are the calculated N(E_F) numbers, same order: 3.85, 6.44, 1.59, 4.32, 8.76, 3.18 (states/eV/f.u.).
Here are the calculated total moment numbers, same order: 7.223, 21.183, 7.069, 15.342, 8.441, 7.424 (μB per formula unit).